Material: Cd5Au3Br12
Method: DFT, PBE
State: relaxed

Cell: 14.7155 14.7155 14.7155 Å, 109.47 109.47 109.47°
Fractional coordinates of all 80 atoms:
Cd1 0.0000 0.0000 0.0000
Cd2 0.0000 0.0000 0.5000
Cd3 0.0000 0.5000 0.0000
Cd4 0.0000 0.5000 0.5000
Cd5 0.1250 0.7500 0.8750
Cd6 0.1250 0.8750 0.2500
Cd7 0.2500 0.1250 0.8750
Cd8 0.2500 0.6250 0.3750
Cd9 0.3750 0.2500 0.6250
Cd10 0.3750 0.6250 0.7500
Cd11 0.5000 0.0000 0.0000
Cd12 0.5000 0.0000 0.5000
Cd13 0.5000 0.5000 0.0000
Cd14 0.5000 0.5000 0.5000
Cd15 0.6250 0.3750 0.2500
Cd16 0.6250 0.7500 0.3750
Cd17 0.7500 0.3750 0.6250
Cd18 0.7500 0.8750 0.1250
Cd19 0.8750 0.1250 0.7500
Cd20 0.8750 0.2500 0.1250
Au1 0.1250 0.2500 0.3750
Au2 0.1250 0.3750 0.7500
Au3 0.2500 0.3750 0.1250
Au4 0.2500 0.8750 0.6250
Au5 0.3750 0.1250 0.2500
Au6 0.3750 0.7500 0.1250
Au7 0.6250 0.2500 0.8750
Au8 0.6250 0.8750 0.7500
Au9 0.7500 0.1250 0.3750
Au10 0.7500 0.6250 0.8750
Au11 0.8750 0.6250 0.2500
Au12 0.8750 0.7500 0.6250
Br1 0.0413 0.2179 0.1221
Br2 0.0413 0.3234 0.9192
Br3 0.0808 0.6221 0.4042
Br4 0.0808 0.9587 0.6766
Br5 0.0958 0.7179 0.6766
Br6 0.0958 0.8779 0.4192
Br7 0.1221 0.0413 0.2179
Br8 0.1221 0.5808 0.9042
Br9 0.1766 0.2179 0.5958
Br10 0.1766 0.4587 0.5808
Br11 0.2179 0.1221 0.0413
Br12 0.2179 0.5958 0.1766
Br13 0.2821 0.3234 0.9042
Br14 0.2821 0.4587 0.3779
Br15 0.3234 0.9042 0.2821
Br16 0.3234 0.9192 0.0413
Br17 0.3779 0.2821 0.4587
Br18 0.3779 0.5958 0.9192
Br19 0.4042 0.0808 0.6221
Br20 0.4042 0.8234 0.7821
Br21 0.4192 0.0958 0.8779
Br22 0.4192 0.8234 0.5413
Br23 0.4587 0.3779 0.2821
Br24 0.4587 0.5808 0.1766
Br25 0.5413 0.4192 0.8234
Br26 0.5413 0.6221 0.7179
Br27 0.5808 0.1766 0.4587
Br28 0.5808 0.9042 0.1221
Br29 0.5958 0.1766 0.2179
Br30 0.5958 0.9192 0.3779
Br31 0.6221 0.4042 0.0808
Br32 0.6221 0.7179 0.5413
Br33 0.6766 0.0808 0.9587
Br34 0.6766 0.0958 0.7179
Br35 0.7179 0.5413 0.6221
Br36 0.7179 0.6766 0.0958
Br37 0.7821 0.4042 0.8234
Br38 0.7821 0.8779 0.9587
Br39 0.8234 0.5413 0.4192
Br40 0.8234 0.7821 0.4042
Br41 0.8779 0.4192 0.0958
Br42 0.8779 0.9587 0.7821
Br43 0.9042 0.1221 0.5808
Br44 0.9042 0.2821 0.3234
Br45 0.9192 0.0413 0.3234
Br46 0.9192 0.3779 0.5958
Br47 0.9587 0.6766 0.0808
Br48 0.9587 0.7821 0.8779

Results
Total moment = 0.00 Bohr magnetons per cell
VASP energy = -168.864 eV/cell
Raw formation energy = -0.39 eV/atom
Crystal system = cubic